Compound: Rb4SrMn3F12
Source: Alexandria
Functional: PBE with a Hubbard U
Structure: optimized geometry

Results
- total energy (eV/atom) = -5.44

abc: 7.670 7.670 7.670
angles: 109.47 109.47 109.47
Sites, in units of the cell vectors:
Rb 0.500 0.500 0.500
Rb 0.000 0.000 0.500
Rb 0.500 0.000 0.000
Rb 0.000 0.500 0.000
Sr 0.000 0.000 0.000
Mn 0.500 0.000 0.500
Mn 0.500 0.500 0.000
Mn 0.000 0.500 0.500
F 0.250 0.500 0.750
F 0.734 0.000 0.734
F 0.266 0.000 0.266
F 0.750 0.500 0.250
F 0.734 0.734 0.000
F 0.266 0.266 0.000
F 0.750 0.250 0.500
F 0.250 0.750 0.500
F 0.500 0.250 0.750
F 0.000 0.734 0.734
F 0.500 0.750 0.250
F 0.000 0.266 0.266